# PBE+U Mg2Mn9O13, optimized geometry
data_Mg2Mn9O13
_symmetry_space_group_name_H-M 'P -1'
_symmetry_Int_Tables_number 2
_cell_length_a 3.230
_cell_length_b 5.118
_cell_length_c 17.583
_cell_angle_alpha 97.87
_cell_angle_beta 94.21
_cell_angle_gamma 95.25
loop_
_symmetry_equiv_pos_as_xyz
'x,y,z'
'-x,-y,-z'
loop_
_atom_site_label
_atom_site_type_symbol
_atom_site_fract_x
_atom_site_fract_y
_atom_site_fract_z
_atom_site_occupancy
Mg1 Mg 0.085 0.473 0.226 1
Mn1 Mn 0.000 0.000 0.500 1
Mn2 Mn 0.178 0.296 0.040 1
Mn3 Mn 0.299 0.514 0.417 1
Mn4 Mn 0.365 0.992 0.679 1
Mn5 Mn 0.416 0.103 0.871 1
O1 O 0.116 0.226 0.601 1
O2 O 0.138 0.174 0.140 1
O3 O 0.168 0.415 0.937 1
O4 O 0.173 0.272 0.316 1
O5 O 0.363 0.732 0.530 1
O6 O 0.388 0.292 0.773 1
O7 O 0.500 0.000 0.000 1
# Total energy = -7.39 eV/atom